(1)
This record from Alexandria describes an optimized crystal structure of Nb6VTc5. The functional is PBE.

a b c (Å): 14.284 6.376 4.505
angles (deg): 90.00 108.32 90.00
Space group C2/m (No. 12)
Inequivalent atoms, fractional coordinates:
Nb (0.000, 0.249, 0.000) [4 per cell]
Nb (0.166, 0.249, 0.666) [8 per cell]
V (0.000, 0.000, 0.500) [2 per cell]
Tc (0.000, 0.500, 0.500) [2 per cell]
Tc (0.167, 0.000, 0.167) [4 per cell]
Tc (0.167, 0.500, 0.167) [4 per cell]

## Properties
The value obtained for the energy of formation is -355 kJ/mol of formula units. The value obtained for the total DFT energy (no corrections) is -10.421 eV per atom.

=====

(2)
This record from Alexandria describes an optimized crystal structure of NaCuI2N. The functional is PBE.

a b c (Å): 5.758 5.758 4.321
angles (deg): 90.00 90.00 90.00
Space group P4/mmm (No. 123)
Inequivalent atoms, fractional coordinates:
Na (0.000, 0.000, 0.000) [1 per cell]
Cu (0.500, 0.500, 0.500) [1 per cell]
I (0.000, 0.500, 0.000) [2 per cell]
N (0.000, 0.000, 0.500) [1 per cell]

## Properties
The calculation puts the energy above the most stable polymorph in this dataset at 1070 meV per atom. The value obtained for the total DFT energy (no corrections) is -2.091 eV per atom.

=====

(3)
This record from Alexandria describes an optimized crystal structure of KCdF3. The functional is PBE.

a b c (Å): 4.659 4.659 4.659
angles (deg): 90.00 90.00 90.00
Space group Pm-3m (No. 221)
Inequivalent atoms, fractional coordinates:
K (0.000, 0.000, 0.000) [1 per cell]
Cd (0.500, 0.500, 0.500) [1 per cell]
F (0.000, 0.000, 0.500) [3 per cell]

## Properties
The value obtained for the total DFT energy (no corrections) is -2.919 eV per atom.

=====

(4)
This record from Alexandria describes an optimized crystal structure of KMn4Ir. The functional is PBE.

a b c (Å): 7.018 7.018 7.018
angles (deg): 90.00 90.00 90.00
Space group F-43m (No. 216)
Inequivalent atoms, fractional coordinates:
K (0.000, 0.000, 0.000) [4 per cell]
Mn (0.125, 0.125, 0.625) [16 per cell]
Ir (0.250, 0.250, 0.250) [4 per cell]

## Properties
The value obtained for the energy of formation is 562 kJ/mol of formula units. The value obtained for the total DFT energy (no corrections) is -6.801 eV per atom.